Entry 1:
# DyTmSnSe

A relaxed DyTmSnSe crystal (GGA-PBE, Alexandria).

Cell lengths 4.2390, 4.2390, 5.9544 Å; angles 90.00, 90.00, 90.00 degrees
With the nearest neighbours (Å) after each atom.
Element x y z (fractional)
Dy1 0.0000 0.0000 0.0000  2 Se 2.98, 4 Sn 3.00
Tm1 0.5000 0.5000 0.5000  2 Sn 2.98, 4 Se 3.00
Sn1 0.5000 0.5000 0.0000  2 Tm 2.98, 4 Dy 3.00
Se1 0.0000 0.0000 0.5000  2 Dy 2.98, 4 Tm 3.00

---

Entry 2:
# Sr4DySe5

A relaxed Sr4DySe5 crystal (GGA-PBE, Alexandria).

Cell lengths 7.5480, 7.5480, 7.5480 Å; angles 99.60, 99.60, 131.79 degrees
With the nearest neighbours (Å) after each atom.
Element x y z (fractional)
Sr1 0.0965 0.3002 0.3967  6 Se 3.07-3.19
Sr2 0.3002 0.9035 0.2037  6 Se 3.07-3.19
Sr3 0.6998 0.0965 0.7963  6 Se 3.07-3.19
Sr4 0.9035 0.6998 0.6033  6 Se 3.07-3.19
Dy1 0.5000 0.5000 0.0000  6 Se 2.94-3.08
Se1 0.0000 0.0000 0.0000  4 Sr 3.07, 2 Dy 3.08
Se2 0.2143 0.5954 0.8096  1 Dy 2.94, 5 Sr 3.09-3.19
Se3 0.4046 0.2143 0.6189  1 Dy 2.94, 5 Sr 3.09-3.19
Se4 0.5954 0.7857 0.3811  1 Dy 2.94, 5 Sr 3.09-3.19
Se5 0.7857 0.4046 0.1904  1 Dy 2.94, 5 Sr 3.09-3.19

---

Entry 3:
# Sr2DySe3

A relaxed Sr2DySe3 crystal (GGA-PBE, Alexandria).

Cell lengths 14.2305, 13.5677, 7.4597 Å; angles 79.40, 69.58, 31.02 degrees
With the nearest neighbours (Å) after each atom.
Element x y z (fractional)
Sr1 0.0432 0.0432 0.2068  6 Se 3.07-3.15
Sr2 0.1232 0.1232 0.6268  6 Se 3.05-3.12
Sr3 0.2068 0.2068 0.0432  6 Se 3.07-3.15
Sr4 0.3732 0.3732 0.8768  6 Se 3.05-3.12
Sr5 0.6268 0.6268 0.1232  6 Se 3.05-3.12
Sr6 0.7932 0.7932 0.9568  6 Se 3.07-3.15
Sr7 0.8768 0.8768 0.3732  6 Se 3.05-3.12
Sr8 0.9568 0.9568 0.7932  6 Se 3.07-3.15
Dy1 0.2916 0.2916 0.4584  6 Se 2.93-2.94
Dy2 0.4584 0.4584 0.2916  6 Se 2.93-2.94
Dy3 0.5416 0.5416 0.7084  6 Se 2.93-2.94
Dy4 0.7084 0.7084 0.5416  6 Se 2.93-2.94
Se1 0.0382 0.5390 0.2283  2 Dy 2.93-2.94, 4 Sr 3.07-3.15
Se2 0.1427 0.6073 0.6073  2 Dy 2.94, 4 Sr 3.05-3.12
Se3 0.2283 0.6945 0.0382  2 Dy 2.93-2.94, 4 Sr 3.07-3.15
Se4 0.3055 0.7717 0.4610  2 Dy 2.93-2.94, 4 Sr 3.07-3.15
Se5 0.3927 0.8573 0.8573  2 Dy 2.94, 4 Sr 3.05-3.12
Se6 0.4610 0.9618 0.3055  2 Dy 2.93-2.94, 4 Sr 3.07-3.15
Se7 0.5390 0.0382 0.6945  2 Dy 2.93-2.94, 4 Sr 3.07-3.15
Se8 0.6073 0.1427 0.1427  2 Dy 2.94, 4 Sr 3.05-3.12
Se9 0.6945 0.2283 0.5390  2 Dy 2.93-2.94, 4 Sr 3.07-3.15
Se10 0.7717 0.3055 0.9618  2 Dy 2.93-2.94, 4 Sr 3.07-3.15
Se11 0.8573 0.3927 0.3927  2 Dy 2.94, 4 Sr 3.05-3.12
Se12 0.9618 0.4610 0.7717  2 Dy 2.93-2.94, 4 Sr 3.07-3.15

---

Calculated volume, 26.75 29.27 28.14 A^3/atom (same order as the records).
Calculated M_tot, 0.0 0.0 0.0 μB/f.u. (same order as the records).
Calculated energy relative to the elements, uncorrected, -27.6 -45.4 -44.5 kcal/mol of atoms (same order as the records).